{
  "formula": "Er4Co2Hg",
  "functional": "PBE",
  "state": "relaxed",
  "space_group": "C2",
  "final_energy_ev_per_atom": -4.811,
  "lattice": [[-1.990, 1.490, -6.709], [-6.943, -1.041, 1.383], [4.782, 6.633, 2.711]],
  "species": ["Er", "Er", "Er", "Er", "Er", "Er", "Er", "Er", "Co", "Co", "Co", "Co", "Hg", "Hg"],
  "frac_coords": [[0.895, 0.125, 0.273], [0.356, 0.625, 0.227], [0.852, 0.621, 0.727], [0.845, 0.029, 0.607], [0.422, 0.238, 0.393], [0.398, 0.129, 0.773], [0.406, 0.720, 0.893], [0.827, 0.513, 0.107], [0.625, 0.374, 0.749], [0.625, 0.876, 0.251], [0.625, 0.374, 0.249], [0.125, 0.375, 0.751], [0.125, 0.625, 0.500], [0.125, 0.125, 0.000]]
}

{
  "formula": "Li3MgAg3",
  "functional": "PBE",
  "state": "relaxed",
  "space_group": "Cmmm",
  "final_energy_ev_per_atom": -2.427,
  "lattice": [[-5.237, 0.639, -3.509], [-1.579, -5.764, 2.104], [-2.967, 2.603, 4.903]],
  "species": ["Li", "Li", "Li", "Li", "Li", "Li", "Mg", "Mg", "Ag", "Ag", "Ag", "Ag", "Ag", "Ag"],
  "frac_coords": [[0.273, 0.273, 0.500], [0.254, 0.746, 0.500], [0.746, 0.254, 0.500], [0.236, 0.764, 0.000], [0.764, 0.236, 0.000], [0.727, 0.727, 0.500], [0.287, 0.287, 0.000], [0.713, 0.713, 0.000], [0.000, 0.000, 0.740], [0.500, 0.000, 0.257], [0.000, 0.500, 0.257], [0.500, 0.000, 0.743], [0.000, 0.500, 0.743], [0.000, 0.000, 0.260]]
}